Here is a geometry-optimized Ho5Zn2Bi structure from Alexandria via LeMat-Bulk. Energies are from GGA-PBE.

Summary:
Formation energy from the elements (eV per atom): -0.41
Space-group type: I4/mcm
Total moment (μB/atom): 0.000
Crystal system: tetragonal
D(E_F) (states/eV/cell): 9.75

Cell: 8.148 8.148 8.598 Å, 118.28 118.28 90.00°
Fractional coordinates of all 16 atoms:
Ho  0.510  0.706  0.716
Ho  0.794  0.990  0.284
Ho  0.000  0.000  0.000
Ho  0.500  0.500  0.000
Ho  0.206  0.010  0.716
Ho  0.706  0.206  0.716
Ho  0.010  0.510  0.716
Ho  0.294  0.794  0.284
Ho  0.990  0.490  0.284
Ho  0.490  0.294  0.284
Zn  0.141  0.359  0.000
Zn  0.641  0.141  0.000
Zn  0.359  0.859  0.000
Zn  0.859  0.641  0.000
Bi  0.750  0.750  0.500
Bi  0.250  0.250  0.500

=====

Here is a geometry-optimized Ho8Zn2Bi structure from Alexandria via LeMat-Bulk. Energies are from GGA-PBE.

Summary:
Formation energy from the elements (eV per atom): -0.15
Space-group type: C2/m
Total moment (μB/atom): 0.000
Crystal system: monoclinic
D(E_F) (states/eV/cell): 15.47

Cell: 5.503 8.098 8.098 Å, 114.74 99.07 99.07°
Fractional coordinates of all 11 atoms:
Ho  0.896  0.917  0.671
Ho  0.896  0.671  0.917
Ho  0.298  0.599  0.599
Ho  0.500  0.760  0.240
Ho  0.500  0.240  0.760
Ho  0.702  0.401  0.401
Ho  0.104  0.329  0.083
Ho  0.104  0.083  0.329
Zn  0.000  0.307  0.693
Zn  0.000  0.693  0.307
Bi  0.500  0.000  0.000

=====

Here is a geometry-optimized Ho12Zn6Bi structure from Alexandria via LeMat-Bulk. Energies are from GGA-PBE.

Summary:
Formation energy from the elements (eV per atom): -0.22
Space-group type: Im-3
Total moment (μB/atom): 0.000
Crystal system: cubic
D(E_F) (states/eV/cell): 14.90

Cell: 8.658 8.658 8.658 Å, 109.47 109.47 109.47°
Fractional coordinates of all 19 atoms:
Ho  0.294  0.101  0.807
Ho  0.294  0.486  0.193
Ho  0.706  0.514  0.807
Ho  0.706  0.899  0.193
Ho  0.101  0.807  0.294
Ho  0.486  0.193  0.294
Ho  0.514  0.807  0.706
Ho  0.899  0.193  0.706
Ho  0.807  0.294  0.101
Ho  0.193  0.294  0.486
Ho  0.807  0.706  0.514
Ho  0.193  0.706  0.899
Zn  0.377  0.500  0.877
Zn  0.623  0.500  0.123
Zn  0.500  0.877  0.377
Zn  0.500  0.123  0.623
Zn  0.877  0.377  0.500
Zn  0.123  0.623  0.500
Bi  0.000  0.000  0.000

=====

Here is a geometry-optimized Ho2ZnBi structure from Alexandria via LeMat-Bulk. Energies are from GGA-PBE.

Summary:
Formation energy from the elements (eV per atom): -0.06
Space-group type: R-3m
Energy relative to the lowest polymorph listed for this composition (meV/atom): 452
Total moment (μB/atom): 0.000
Crystal system: trigonal
D(E_F) (states/eV/cell): 3.47

Cell: 3.519 3.519 10.949 Å, 80.75 80.75 60.00°
Fractional coordinates of all 4 atoms:
Zn  0.500  0.500  0.500
Bi  0.000  0.000  0.000
Ho  0.098  0.098  0.705
Ho  0.902  0.902  0.295

=====

Here is a geometry-optimized Ho2ZnBi structure from Alexandria via LeMat-Bulk. Energies are from GGA-PBE.

Summary:
Formation energy from the elements (eV per atom): -0.52
Space-group type: P2_1/m
Energy relative to the lowest polymorph listed for this composition (meV/atom): 0
Total moment (μB/atom): 0.000
Crystal system: monoclinic
D(E_F) (states/eV/cell): 6.60

Cell: 4.184 6.092 8.709 Å, 108.21 90.00 90.00°
Fractional coordinates of all 8 atoms:
Ho  0.750  0.235  0.441
Ho  0.250  0.765  0.559
Ho  0.750  0.690  0.925
Ho  0.250  0.310  0.075
Zn  0.750  0.608  0.291
Zn  0.250  0.392  0.709
Bi  0.750  0.114  0.789
Bi  0.250  0.886  0.211

=====

Here is a geometry-optimized Ho3ZnBi structure from Alexandria via LeMat-Bulk. Energies are from GGA-PBE.

Summary:
Formation energy from the elements (eV per atom): -0.34
Space-group type: Pmmn
Total moment (μB/atom): 0.000
Crystal system: orthorhombic
D(E_F) (states/eV/cell): 10.07

Cell: 4.205 7.133 9.609 Å, 90.00 90.00 90.00°
Fractional coordinates of all 10 atoms:
Ho  0.000  0.763  0.337
Ho  0.500  0.737  0.663
Ho  0.500  0.263  0.663
Ho  0.000  0.237  0.337
Ho  0.000  0.000  0.907
Ho  0.500  0.500  0.093
Zn  0.000  0.000  0.595
Zn  0.500  0.500  0.405
Bi  0.500  0.000  0.150
Bi  0.000  0.500  0.850

=====

> Which value of total moment does entry 1 give?

0.000 μB/atom

=====

> total moment of number 1 (Ho5Zn2Bi)?

0.000 μB/atom